First-principles (PBE) data for an optimized crystal structure of ScCoCuPb, as listed in OQMD.

Cell lengths 6.4059, 6.4059, 6.4059 Å; angles 90.00, 90.00, 90.00 degrees
With the nearest neighbours (Å) after each atom.
Space group F-43m (No. 216)
Asymmetric unit:
Sc: 0.0000 0.0000 0.0000 (multiplicity 4)  4 Co 2.77, 4 Cu 2.77
Co: 0.2500 0.2500 0.2500 (multiplicity 4)  4 Pb 2.77, 4 Sc 2.77
Cu: 0.2500 0.2500 0.7500 (multiplicity 4)  4 Pb 2.77, 4 Sc 2.77
Pb: 0.0000 0.0000 0.5000 (multiplicity 4)  4 Cu 2.77, 4 Co 2.77

* ΔE to the lowest computed polymorph: 0.0 kJ per mole of atoms

First-principles (PBE) data for an optimized crystal structure of GdIn, as listed in OQMD.

Cell lengths 3.5464, 3.5464, 5.2206 Å; angles 90.00, 90.00, 120.00 degrees
With the nearest neighbours (Å) after each atom.
Space group P-6m2 (No. 187)
Asymmetric unit:
Gd: 0.0000 0.0000 0.0000 (multiplicity 1)  6 In 3.32, 6 Gd 3.55
In: 0.6667 0.3333 0.5000 (multiplicity 1)  6 Gd 3.32, 6 In 3.55

First-principles (PBE) data for an optimized crystal structure of TbErBi, as listed in OQMD.

Cell lengths 7.2865, 7.2865, 7.2865 Å; angles 90.00, 90.00, 90.00 degrees
With the nearest neighbours (Å) after each atom.
Space group F-43m (No. 216)
Asymmetric unit:
Tb: 0.0000 0.0000 0.0000 (multiplicity 4)  4 Bi 3.16
Er: 0.0000 0.0000 0.5000 (multiplicity 4)  4 Bi 3.16
Bi: 0.2500 0.2500 0.7500 (multiplicity 4)  4 Er 3.16, 4 Tb 3.16

First-principles (PBE) data for an optimized crystal structure of KSmFeS3, as listed in OQMD.

Cell lengths 14.5780, 4.0055, 10.8966 Å; angles 90.00, 90.00, 90.00 degrees
With the nearest neighbours (Å) after each atom.
Space group Pnma (No. 62)
Asymmetric unit:
K: 0.2331 0.2500 0.0345 (multiplicity 4)  6 S 3.18-3.38
Sm: 0.0142 0.2500 0.3419 (multiplicity 4)  6 S 2.76-2.89
Fe: 0.0099 0.7500 0.0849 (multiplicity 4)  4 S 2.28-2.40
S: 0.0797 0.7500 0.8917 (multiplicity 4)  3 Fe 2.34-2.40
S: 0.0998 0.2500 0.5676 (multiplicity 4)  3 Sm 2.76-2.78
S: 0.1217 0.7500 0.2313 (multiplicity 4)  1 Fe 2.28

* ΔE to the lowest computed polymorph: 0.5 kJ per mole of atoms

First-principles (PBE) data for an optimized crystal structure of ZrO4, as listed in OQMD.

Cell lengths 5.8005, 3.4279, 5.7402 Å; angles 90.00, 102.92, 90.00 degrees
With the nearest neighbours (Å) after each atom.
Space group C2/m (No. 12)
Asymmetric unit:
Zr: 0.0000 0.0000 0.0000 (multiplicity 2)  6 O 2.12-2.15
O: 0.0851 0.0000 0.4503 (multiplicity 4)  1 O 1.25
O: 0.1326 0.5000 0.8458 (multiplicity 4)  3 Zr 2.12-2.15

* ΔE to the lowest computed polymorph: 6.3 kJ per mole of atoms

First-principles (PBE) data for an optimized crystal structure of InCu3GeSe4, as listed in OQMD.

Cell lengths 5.9078, 7.5608, 9.9426 Å; angles 90.00, 106.83, 90.00 degrees
With the nearest neighbours (Å) after each atom.
Space group P2_1/m (No. 11)
Asymmetric unit:
In: 0.1553 0.2500 0.4046 (multiplicity 2)  3 Se 3.12-3.49
Cu: 0.3099 0.5667 0.0247 (multiplicity 4)  3 Se 2.43-2.53, 2 Cu 2.60-2.63
Cu: 0.4293 0.7500 0.2556 (multiplicity 2)  3 Se 2.39-2.48, 2 Cu 2.60
Ge: 0.1111 0.2500 0.7816 (multiplicity 2)  4 Se 2.37-2.44
Se: 0.0397 0.2500 0.0111 (multiplicity 2)  2 Cu 2.43, 1 Ge 2.44
Se: 0.2131 0.7500 0.4249 (multiplicity 2)  1 Ge 2.37, 1 Cu 2.39
Se: 0.3471 0.5146 0.7802 (multiplicity 4)  1 Ge 2.44, 3 Cu 2.44-2.53

* ΔE to the lowest computed polymorph: 0.0 kJ per mole of atoms

First-principles (PBE) data for an optimized crystal structure of Zr3Ag4Sn4, as listed in OQMD.

Cell lengths 6.4244, 6.4244, 12.9385 Å; angles 90.00, 90.00, 90.00 degrees
With the nearest neighbours (Å) after each atom.
Space group I-42m (No. 121)
Asymmetric unit:
Zr: 0.0000 0.0000 0.0000 (multiplicity 2)  4 Ag 2.85, 2 Sn 3.17
Zr: 0.0000 0.5000 0.2500 (multiplicity 4)  4 Ag 2.83
Ag: 0.2363 0.2363 0.6197 (multiplicity 8)  4 Sn 2.75-2.89, 3 Zr 2.83-2.85
Sn: 0.0000 0.0000 0.2453 (multiplicity 4)  4 Ag 2.77-2.89
Sn: 0.0000 0.5000 0.0000 (multiplicity 4)  4 Ag 2.75

* ΔE to the lowest computed polymorph: 6.4 kJ per mole of atoms

First-principles (PBE) data for an optimized crystal structure of CsNbAl, as listed in OQMD.

Cell lengths 7.8225, 7.8225, 7.8225 Å; angles 90.00, 90.00, 90.00 degrees
With the nearest neighbours (Å) after each atom.
Space group F-43m (No. 216)
Asymmetric unit:
Cs: 0.0000 0.0000 0.0000 (multiplicity 4)  4 Nb 3.39, 4 Al 3.39
Nb: 0.2500 0.2500 0.2500 (multiplicity 4)  4 Cs 3.39
Al: 0.2500 0.2500 0.7500 (multiplicity 4)  4 Cs 3.39

* ΔE to the lowest computed polymorph: 66.8 kJ per mole of atoms

Number 1: uncorrected energy -5.276 eV/atom. Number 2: uncorrected energy -3.962 eV/atom. Number 3: uncorrected energy -4.684 eV/atom. Number 4: uncorrected energy -5.736 eV/atom. Number 5: uncorrected energy -7.279 eV/atom. Number 6: uncorrected energy -3.769 eV/atom. Number 7: uncorrected energy -4.916 eV/atom. Number 8: uncorrected energy -2.608 eV/atom.